Entry 1:
SiAuSCl2 | PBE-GGA | relaxed

Cell and atoms, written as POSCAR:
```
SiAuSCl2
1.0
4.629 0.000 0.000
0.000 4.629 0.000
0.000 0.000 4.772
Si Au S Cl
1 1 1 2
Cartesian
0.000 0.000 0.000
2.315 2.315 2.386
0.000 0.000 2.386
0.000 2.315 0.000
2.315 0.000 0.000
```

## Properties
Symmetry   P4/mmm
Crystal system   tetragonal
Total energy   -3.1753 eV per atom
Energy relative to the elements, uncorrected   0.129 eV per atom


Entry 2:
SiAuS2Cl | PBE-GGA | relaxed

Cell and atoms, written as POSCAR:
```
SiAuS2Cl
1.0
4.601 0.000 0.000
0.000 4.601 0.000
0.000 0.000 4.561
Si Au S Cl
1 1 2 1
Cartesian
0.000 0.000 0.000
2.300 2.300 2.281
0.000 2.300 0.000
2.300 0.000 0.000
0.000 0.000 2.281
```

## Properties
Symmetry   P4/mmm
Crystal system   tetragonal
Total energy   -3.4428 eV per atom
Energy relative to the elements, uncorrected   0.318 eV per atom


Entry 3:
TaAuS2Cl | PBE-GGA | relaxed

Cell and atoms, written as POSCAR:
```
TaAuS2Cl
1.0
4.796 0.000 0.000
0.000 4.796 0.000
0.000 0.000 4.831
Ta Au S Cl
1 1 2 1
Cartesian
0.000 0.000 0.000
2.398 2.398 2.415
0.000 2.398 0.000
2.398 0.000 0.000
0.000 0.000 2.415
```

## Properties
Symmetry   P4/mmm
Crystal system   tetragonal
Total energy   -5.1717 eV per atom
Energy relative to the elements, uncorrected   -0.125 eV per atom


Entry 4:
TaAuS2Cl | PBE-GGA | relaxed

Cell and atoms, written as POSCAR:
```
TaAuS2Cl
1.0
4.866 0.000 0.000
0.000 4.866 0.000
0.000 0.000 4.699
Ta Au S Cl
1 1 2 1
Cartesian
0.000 0.000 0.000
2.433 2.433 2.350
0.000 2.433 2.350
2.433 0.000 2.350
2.433 2.433 0.000
```

## Properties
Symmetry   P4/mmm
Crystal system   tetragonal
Total energy   -4.0040 eV per atom
Energy relative to the elements, uncorrected   1.042 eV per atom


Entry 5:
TcAuS2Cl | PBE-GGA | relaxed

Cell and atoms, written as POSCAR:
```
TcAuS2Cl
1.0
4.537 0.000 0.000
0.000 4.537 0.000
0.000 0.000 5.087
Tc Au S Cl
1 1 2 1
Cartesian
0.000 0.000 0.000
2.268 2.268 2.543
0.000 2.268 0.000
2.268 0.000 0.000
0.000 0.000 2.543
```

## Properties
Symmetry   P4/mmm
Crystal system   tetragonal
Total energy   -4.4062 eV per atom
Energy relative to the elements, uncorrected   0.343 eV per atom


Entry 6:
TcAuS2Cl | PBE-GGA | relaxed

Cell and atoms, written as POSCAR:
```
TcAuS2Cl
1.0
4.894 0.000 0.000
0.000 4.894 0.000
0.000 0.000 4.847
Tc Au S Cl
1 1 2 1
Cartesian
0.000 0.000 0.000
2.447 2.447 2.423
0.000 2.447 2.423
2.447 0.000 2.423
2.447 2.447 0.000
```

## Properties
Symmetry   P4/mmm
Crystal system   tetragonal
Total energy   -3.7576 eV per atom
Energy relative to the elements, uncorrected   0.991 eV per atom


Entry 7:
TiAuS2Cl | PBE-GGA | relaxed

Cell and atoms, written as POSCAR:
```
TiAuS2Cl
1.0
4.738 0.000 0.000
0.000 4.738 0.000
0.000 0.000 4.723
Ti Au S Cl
1 1 2 1
Cartesian
0.000 0.000 0.000
2.369 2.369 2.362
0.000 2.369 0.000
2.369 0.000 0.000
0.000 0.000 2.362
```

## Properties
Symmetry   P4/mmm
Crystal system   tetragonal
Total energy   -4.5702 eV per atom
Energy relative to the elements, uncorrected   -0.315 eV per atom


Entry 8:
TiAuS2Cl | PBE-GGA | relaxed

Cell and atoms, written as POSCAR:
```
TiAuS2Cl
1.0
4.878 0.000 0.000
0.000 4.878 0.000
0.000 0.000 4.780
Ti Au S Cl
1 1 2 1
Cartesian
0.000 0.000 0.000
2.439 2.439 2.390
0.000 2.439 2.390
2.439 0.000 2.390
2.439 2.439 0.000
```

## Properties
Symmetry   P4/mmm
Crystal system   tetragonal
Total energy   -3.7364 eV per atom
Energy relative to the elements, uncorrected   0.518 eV per atom


Calculated distance to the lowest polymorph of the same formula (eV/f.u.), listed in the same order as above: 0.000 0.000 0.000 5.839 0.000 3.243 0.000 4.169